Crystalline Rb3VSi at its relaxed geometry. Source: the Alexandria database, functional PBE.

```
Rb3VSi
1.0
6.789 0.000 0.000
0.000 6.789 0.000
0.000 0.000 6.789
Rb V Si
3 1 1
Direct
0.000 0.000 0.500 Rb
0.000 0.500 0.000 Rb
0.500 0.000 0.000 Rb
0.500 0.500 0.500 V
0.000 0.000 0.000 Si
```

Formation energy without anion corrections: 1156 meV/atom
ρ: 1.78 g cm⁻³
Energy above the most stable polymorph in this dataset: 0 meV/atom
Space-group type: Pm-3m

=====

Crystalline Li5Cu3Rh at its relaxed geometry. Source: the Alexandria database, functional PBE.

```
Li5Cu3Rh
1.0
7.422 0.000 0.000
-3.711 6.428 0.000
0.000 0.000 5.217
Li Cu Rh
10 6 2
Direct
0.000 0.330 0.250 Li
0.000 0.670 0.750 Li
0.330 0.000 0.250 Li
0.330 0.330 0.750 Li
0.333 0.667 0.000 Li
0.333 0.667 0.500 Li
0.667 0.333 0.000 Li
0.667 0.333 0.500 Li
0.670 0.000 0.750 Li
0.670 0.670 0.250 Li
0.000 0.321 0.750 Cu
0.000 0.679 0.250 Cu
0.321 0.000 0.750 Cu
0.321 0.321 0.250 Cu
0.679 0.000 0.250 Cu
0.679 0.679 0.750 Cu
0.000 0.000 0.000 Rh
0.000 0.000 0.500 Rh
```

ρ: 4.38 g cm⁻³
Formation enthalpy at 0 K: 0.036 eV per formula unit
Energy above the most stable polymorph in this dataset: 0 meV/atom
Space-group type: P6_3/mcm

=====

Crystalline NaTiAgPd2 at its relaxed geometry. Source: the Alexandria database, functional PBE.

```
NaTiAgPd2
1.0
4.607 0.000 0.000
0.000 4.607 0.000
0.000 0.000 4.789
Na Ti Ag Pd
1 1 1 2
Direct
0.000 0.000 0.000 Na
0.000 0.000 0.500 Ti
0.500 0.500 0.500 Ag
0.000 0.500 0.000 Pd
0.500 0.000 0.000 Pd
```

ρ: 6.40 g cm⁻³
Formation enthalpy at 0 K: 5.930 eV per formula unit
Space-group type: P4/mmm

=====

Crystalline SmEr2Al at its relaxed geometry. Source: the Alexandria database, functional PBE.

```
SmEr2Al
1.0
5.292 0.000 0.000
0.000 6.854 0.000
0.000 0.000 11.848
Sm Er Al
4 8 4
Direct
0.000 0.236 0.000 Sm
0.000 0.264 0.500 Sm
0.000 0.736 0.500 Sm
0.000 0.764 0.000 Sm
0.000 0.000 0.762 Er
0.000 0.500 0.262 Er
0.500 0.000 0.414 Er
0.500 0.238 0.177 Er
0.500 0.262 0.677 Er
0.500 0.500 0.914 Er
0.500 0.738 0.677 Er
0.500 0.762 0.177 Er
0.000 0.000 0.255 Al
0.000 0.500 0.755 Al
0.500 0.000 0.917 Al
0.500 0.500 0.417 Al
```

ρ: 7.91 g cm⁻³
Formation enthalpy at 0 K: -0.764 eV per formula unit
Energy above the most stable polymorph in this dataset: 8 meV/atom
Space-group type: Amm2

=====

Crystalline CaCePmLu at its relaxed geometry. Source: the Alexandria database, functional PBE.

```
CaCePmLu
1.0
8.153 0.000 0.000
0.000 8.153 0.000
0.000 0.000 8.153
Ca Ce Pm Lu
4 4 4 4
Direct
0.000 0.000 0.000 Ca
0.000 0.500 0.500 Ca
0.500 0.000 0.500 Ca
0.500 0.500 0.000 Ca
0.000 0.000 0.500 Ce
0.000 0.500 0.000 Ce
0.500 0.000 0.000 Ce
0.500 0.500 0.500 Ce
0.250 0.250 0.750 Pm
0.250 0.750 0.250 Pm
0.750 0.250 0.250 Pm
0.750 0.750 0.750 Pm
0.250 0.250 0.250 Lu
0.250 0.750 0.750 Lu
0.750 0.250 0.750 Lu
0.750 0.750 0.250 Lu
```

ρ: 6.13 g cm⁻³
Formation enthalpy at 0 K: 0.972 eV per formula unit
Space-group type: F-43m

=====

Crystalline NdNiSn at its relaxed geometry. Source: the Alexandria database, functional PBE.

```
NdNiSn
1.0
4.548 0.000 0.000
-2.274 3.939 0.000
0.000 0.000 3.817
Nd Ni Sn
1 1 1
Direct
0.000 0.000 0.000 Nd
0.333 0.667 0.500 Ni
0.667 0.333 0.500 Sn
```

ρ: 7.81 g cm⁻³
Formation enthalpy at 0 K: -1.700 eV per formula unit
Space-group type: P-6m2

=====

Crystalline CsSbPHPt at its relaxed geometry. Source: the Alexandria database, functional PBE.

```
CsSbPHPt
1.0
4.074 0.000 0.000
-1.875 5.271 0.000
-0.014 -1.829 6.401
Cs Sb P H Pt
1 1 1 1 1
Direct
0.000 0.000 0.000 Cs
0.240 0.432 0.608 Sb
0.353 0.680 0.328 P
0.657 0.608 0.269 H
0.595 0.115 0.524 Pt
```

ρ: 5.82 g cm⁻³
Energy above the most stable polymorph in this dataset: 136 meV/atom
Space-group type: P1

=====

Crystalline U2VS4 at its relaxed geometry. Source: the Alexandria database, functional PBE.

```
U2VS4
1.0
1.801 -6.287 0.000
1.801 6.287 0.000
0.000 0.000 13.036
U V S
4 2 8
Direct
0.135 0.865 0.579 U
0.135 0.865 0.921 U
0.865 0.135 0.079 U
0.865 0.135 0.421 U
0.365 0.635 0.750 V
0.635 0.365 0.250 V
0.011 0.989 0.750 S
0.209 0.791 0.124 S
0.209 0.791 0.376 S
0.500 0.500 0.000 S
0.500 0.500 0.500 S
0.791 0.209 0.624 S
0.791 0.209 0.876 S
0.989 0.011 0.250 S
```

Formation energy without anion corrections: -1018 meV/atom
ρ: 7.37 g cm⁻³
Space-group type: Cmcm

=====

Crystalline TiMn2FeGe at its relaxed geometry. Source: the Alexandria database, functional PBE.

```
TiMn2FeGe
1.0
4.597 0.000 0.000
0.000 4.597 0.000
0.000 0.000 4.585
Ti Mn Fe Ge
1 2 1 1
Direct
0.000 0.000 0.000 Ti
0.000 0.500 0.000 Mn
0.500 0.000 0.000 Mn
0.000 0.000 0.500 Fe
0.500 0.500 0.500 Ge
```

ρ: 4.90 g cm⁻³
Formation enthalpy at 0 K: 5.583 eV per formula unit
Space-group type: P4/mmm

=====

Crystalline Sm3Gd5H12 at its relaxed geometry. Source: the Alexandria database, functional PBE.

```
Sm3Gd5H12
1.0
-6.657 6.657 6.657
6.657 -6.657 6.657
6.657 6.657 -6.657
Sm Gd H
12 20 48
Direct
0.125 0.250 0.375 Sm
0.125 0.375 0.750 Sm
0.250 0.375 0.125 Sm
0.250 0.875 0.625 Sm
0.375 0.125 0.250 Sm
0.375 0.750 0.125 Sm
0.625 0.250 0.875 Sm
0.625 0.875 0.750 Sm
0.750 0.125 0.375 Sm
0.750 0.625 0.875 Sm
0.875 0.625 0.250 Sm
0.875 0.750 0.625 Sm
0.000 0.000 0.000 Gd
0.000 0.000 0.500 Gd
0.000 0.500 0.000 Gd
0.000 0.500 0.500 Gd
0.125 0.750 0.875 Gd
0.125 0.875 0.250 Gd
0.250 0.125 0.875 Gd
0.250 0.625 0.375 Gd
0.375 0.250 0.625 Gd
0.375 0.625 0.750 Gd
0.500 0.000 0.000 Gd
0.500 0.000 0.500 Gd
0.500 0.500 0.000 Gd
0.500 0.500 0.500 Gd
0.625 0.375 0.250 Gd
0.625 0.750 0.375 Gd
0.750 0.375 0.625 Gd
0.750 0.875 0.125 Gd
0.875 0.125 0.750 Gd
0.875 0.250 0.125 Gd
0.065 0.225 0.150 H
0.065 0.340 0.915 H
0.075 0.725 0.660 H
0.075 0.850 0.415 H
0.085 0.650 0.425 H
0.085 0.935 0.660 H
0.150 0.065 0.225 H
0.150 0.585 0.925 H
0.160 0.225 0.575 H
0.160 0.435 0.585 H
0.225 0.150 0.065 H
0.225 0.575 0.160 H
0.275 0.340 0.925 H
0.275 0.435 0.350 H
0.340 0.915 0.065 H
0.340 0.925 0.275 H
0.350 0.275 0.435 H
0.350 0.575 0.915 H
0.415 0.075 0.850 H
0.415 0.840 0.565 H
0.425 0.085 0.650 H
0.425 0.840 0.775 H
0.435 0.350 0.275 H
0.435 0.585 0.160 H
0.565 0.415 0.840 H
0.565 0.650 0.725 H
0.575 0.160 0.225 H
0.575 0.915 0.350 H
0.585 0.160 0.435 H
0.585 0.925 0.150 H
0.650 0.425 0.085 H
0.650 0.725 0.565 H
0.660 0.075 0.725 H
0.660 0.085 0.935 H
0.725 0.565 0.650 H
0.725 0.660 0.075 H
0.775 0.425 0.840 H
0.775 0.850 0.935 H
0.840 0.565 0.415 H
0.840 0.775 0.425 H
0.850 0.415 0.075 H
0.850 0.935 0.775 H
0.915 0.065 0.340 H
0.915 0.350 0.575 H
0.925 0.150 0.585 H
0.925 0.275 0.340 H
0.935 0.660 0.085 H
0.935 0.775 0.850 H
```

ρ: 7.03 g cm⁻³
Space-group type: Ia-3d
E_tot: -536.78 eV/cell

=====

Crystalline Pr2CuGe4Ir3 at its relaxed geometry. Source: the Alexandria database, functional PBE.

```
Pr2CuGe4Ir3
1.0
4.321 0.000 0.000
0.000 4.321 0.000
0.000 0.000 10.096
Pr Cu Ge Ir
2 1 4 3
Direct
0.000 0.500 0.245 Pr
0.500 0.000 0.755 Pr
0.000 0.000 0.500 Cu
0.000 0.000 0.000 Ge
0.000 0.500 0.630 Ge
0.500 0.000 0.370 Ge
0.500 0.500 0.000 Ge
0.000 0.500 0.874 Ir
0.500 0.000 0.126 Ir
0.500 0.500 0.500 Ir
```

ρ: 10.68 g cm⁻³
Formation enthalpy at 0 K: -6.774 eV per formula unit
Space-group type: P-4m2

=====

Crystalline Zr2TaNb at its relaxed geometry. Source: the Alexandria database, functional PBE.

```
Zr2TaNb
1.0
3.441 0.000 0.000
0.000 3.441 0.000
0.000 0.000 6.884
Zr Ta Nb
2 1 1
Direct
0.000 0.000 0.249 Zr
0.000 0.000 0.751 Zr
0.500 0.500 0.500 Ta
0.500 0.500 0.000 Nb
```

ρ: 9.30 g cm⁻³
Formation enthalpy at 0 K: 0.618 eV per formula unit
Energy above the most stable polymorph in this dataset: 0 meV/atom
Space-group type: P4/mmm

=====

Among the records above, which one has the lowest ρ?
Rb3VSi

=====

The lowest ρ belongs to which entry?
Rb3VSi

=====

Look up the ρ of the eighth one.
7.37 g cm⁻³

=====

What did the fourth record say?
Crystalline SmEr2Al at its relaxed geometry. Source: the Alexandria database, functional PBE.

```
SmEr2Al
1.0
5.292 0.000 0.000
0.000 6.854 0.000
0.000 0.000 11.848
Sm Er Al
4 8 4
Direct
0.000 0.236 0.000 Sm
0.000 0.264 0.500 Sm
0.000 0.736 0.500 Sm
0.000 0.764 0.000 Sm
0.000 0.000 0.762 Er
0.000 0.500 0.262 Er
0.500 0.000 0.414 Er
0.500 0.238 0.177 Er
0.500 0.262 0.677 Er
0.500 0.500 0.914 Er
0.500 0.738 0.677 Er
0.500 0.762 0.177 Er
0.000 0.000 0.255 Al
0.000 0.500 0.755 Al
0.500 0.000 0.917 Al
0.500 0.500 0.417 Al
```

ρ: 7.91 g cm⁻³
Formation enthalpy at 0 K: -0.764 eV per formula unit
Energy above the most stable polymorph in this dataset: 8 meV/atom
Space-group type: Amm2